No. 1
This record from OQMD via LeMat-Bulk describes a relaxed In2NiPd2 crystal. The functional is PBE.

```
In2NiPd2
1.0
-2.095 2.095 5.762
2.095 -2.095 5.762
2.095 2.095 -5.762
In Ni Pd
2 1 2
direct
0.250 0.750 0.500 In
0.750 0.250 0.500 In
0.000 0.000 0.000 Ni
0.392 0.392 0.000 Pd
0.608 0.608 0.000 Pd
```

Output
The value obtained for the polymorph energy (0 for the lowest one) is 217 meV/atom. The energy comes out at -20.1 eV per formula unit.


No. 2
This record from OQMD via LeMat-Bulk describes a relaxed In2NiPd crystal. The functional is PBE.

```
In2NiPd
1.0
0.000 3.260 3.260
3.260 0.000 3.260
3.260 3.260 0.000
In Ni Pd
2 1 1
direct
0.000 0.000 0.000 In
0.250 0.250 0.250 In
0.500 0.500 0.500 Ni
0.750 0.750 0.750 Pd
```

Output
The value obtained for the polymorph energy (0 for the lowest one) is 66 meV/atom. The energy comes out at -16.3 eV per formula unit.


No. 3
This record from OQMD via LeMat-Bulk describes a relaxed In2NiPd crystal. The functional is PBE.

```
In2NiPd
1.0
1.683 -5.169 0.000
1.683 5.169 0.000
0.000 0.000 7.875
In Ni Pd
4 2 2
direct
0.125 0.875 0.557 In
0.125 0.875 0.943 In
0.875 0.125 0.057 In
0.875 0.125 0.443 In
0.477 0.523 0.750 Ni
0.523 0.477 0.250 Ni
0.229 0.771 0.250 Pd
0.771 0.229 0.750 Pd
```

Output
The value obtained for the polymorph energy (0 for the lowest one) is 0 meV/atom. The energy comes out at -16.6 eV per formula unit.


No. 4
This record from OQMD via LeMat-Bulk describes a relaxed In2NiPd2 crystal. The functional is PBE.

```
In2NiPd2
1.0
-1.900 1.900 6.560
1.900 -1.900 6.560
1.900 1.900 -6.560
In Ni Pd
2 1 2
direct
0.104 0.104 0.000 In
0.896 0.896 0.000 In
0.500 0.500 0.000 Ni
0.250 0.750 0.500 Pd
0.750 0.250 0.500 Pd
```

Output
The value obtained for the polymorph energy (0 for the lowest one) is 0 meV/atom. The energy comes out at -21.1 eV per formula unit.


No. 5
This record from OQMD via LeMat-Bulk describes a relaxed ScInNiPd crystal. The functional is PBE.

```
ScInNiPd
1.0
0.000 3.223 3.223
3.223 0.000 3.223
3.223 3.223 0.000
Sc In Ni Pd
1 1 1 1
direct
0.000 0.000 0.000 Sc
0.500 0.500 0.500 In
0.750 0.750 0.750 Ni
0.250 0.250 0.250 Pd
```

Output
The value obtained for the polymorph energy (0 for the lowest one) is 0 meV/atom. The energy comes out at -22.3 eV per formula unit.


No. 6
This record from OQMD via LeMat-Bulk describes a relaxed ScInNiPd crystal. The functional is PBE.

```
ScInNiPd
1.0
0.000 3.239 3.239
3.239 0.000 3.239
3.239 3.239 0.000
Sc In Ni Pd
1 1 1 1
direct
0.000 0.000 0.000 Sc
0.250 0.250 0.250 In
0.500 0.500 0.500 Ni
0.750 0.750 0.750 Pd
```

Output
The value obtained for the polymorph energy (0 for the lowest one) is 255 meV/atom. The energy comes out at -21.3 eV per formula unit.


No. 7
This record from OQMD via LeMat-Bulk describes a relaxed Sr2In4NiPd crystal. The functional is PBE.

```
Sr2In4NiPd
1.0
7.931 0.000 0.000
0.000 2.251 5.516
0.000 -2.251 5.516
Sr In Ni Pd
2 4 1 1
direct
0.000 0.000 0.000 Sr
0.500 0.118 0.118 Sr
0.189 0.712 0.712 In
0.296 0.402 0.402 In
0.704 0.402 0.402 In
0.811 0.712 0.712 In
0.000 0.278 0.278 Ni
0.500 0.838 0.838 Pd
```

Output
The energy comes out at -28.9 eV per formula unit.


No. 8
This record from OQMD via LeMat-Bulk describes a relaxed TaInNiPd crystal. The functional is PBE.

```
TaInNiPd
1.0
0.000 3.190 3.190
3.190 0.000 3.190
3.190 3.190 0.000
Ta In Ni Pd
1 1 1 1
direct
0.000 0.000 0.000 Ta
0.250 0.250 0.250 In
0.500 0.500 0.500 Ni
0.750 0.750 0.750 Pd
```

Output
The value obtained for the polymorph energy (0 for the lowest one) is 250 meV/atom. The energy comes out at -25.1 eV per formula unit.


No. 9
This record from OQMD via LeMat-Bulk describes a relaxed TaInNiPd crystal. The functional is PBE.

```
TaInNiPd
1.0
0.000 3.183 3.183
3.183 0.000 3.183
3.183 3.183 0.000
Ta In Ni Pd
1 1 1 1
direct
0.000 0.000 0.000 Ta
0.500 0.500 0.500 In
0.750 0.750 0.750 Ni
0.250 0.250 0.250 Pd
```

Output
The value obtained for the polymorph energy (0 for the lowest one) is 0 meV/atom. The energy comes out at -26.1 eV per formula unit.


No. 10
This record from OQMD via LeMat-Bulk describes a relaxed Ta2In2NiPd crystal. The functional is PBE.

```
Ta2In2NiPd
1.0
7.500 0.000 0.000
0.000 4.317 0.000
-2.443 0.000 14.124
Ta In Ni Pd
8 8 4 4
direct
0.000 0.000 0.000 Ta
0.005 0.500 0.493 Ta
0.240 0.000 0.739 Ta
0.246 0.500 0.243 Ta
0.487 0.000 0.487 Ta
0.500 0.500 0.000 Ta
0.745 0.000 0.239 Ta
0.755 0.500 0.741 Ta
0.123 0.500 0.863 In
0.126 0.000 0.364 In
0.365 0.500 0.614 In
0.373 0.000 0.126 In
0.613 0.500 0.364 In
0.621 0.000 0.867 In
0.876 0.500 0.125 In
0.879 0.000 0.618 In
0.060 0.000 0.181 Ni
0.060 0.500 0.678 Ni
0.306 0.500 0.428 Ni
0.559 0.500 0.180 Ni
0.310 0.000 0.934 Pd
0.559 0.000 0.677 Pd
0.809 0.000 0.428 Pd
0.813 0.500 0.934 Pd
```

Output
The energy comes out at -40.1 eV per formula unit.


No. 11
This record from OQMD via LeMat-Bulk describes a relaxed Tm3In3Ni2Pd crystal. The functional is PBE.

```
Tm3In3Ni2Pd
1.0
7.519 0.000 0.000
-3.759 6.511 0.000
0.000 0.000 3.768
Tm In Ni Pd
3 3 2 1
direct
0.000 0.592 0.000 Tm
0.408 0.408 0.000 Tm
0.592 0.000 0.000 Tm
0.000 0.269 0.500 In
0.269 0.000 0.500 In
0.731 0.731 0.500 In
0.333 0.667 0.500 Ni
0.667 0.333 0.500 Ni
0.000 0.000 0.000 Pd
```

Output
The energy comes out at -43.3 eV per formula unit.


No. 12
This record from OQMD via LeMat-Bulk describes a relaxed Tm3In3NiPd2 crystal. The functional is PBE.

```
Tm3In3NiPd2
1.0
7.641 0.000 0.000
-3.821 6.617 0.000
0.000 0.000 3.722
Tm In Ni Pd
3 3 1 2
direct
0.000 0.594 0.000 Tm
0.406 0.406 0.000 Tm
0.594 0.000 0.000 Tm
0.000 0.252 0.500 In
0.252 0.000 0.500 In
0.748 0.748 0.500 In
0.000 0.000 0.000 Ni
0.333 0.667 0.500 Pd
0.667 0.333 0.500 Pd
```

Output
The energy comes out at -44.1 eV per formula unit.


No. 13
This record from OQMD via LeMat-Bulk describes a relaxed InNiPdW crystal. The functional is PBE.

```
InNiPdW
1.0
0.000 3.157 3.157
3.157 0.000 3.157
3.157 3.157 0.000
In Ni Pd W
1 1 1 1
direct
0.000 0.000 0.000 In
0.250 0.250 0.250 Ni
0.750 0.750 0.750 Pd
0.500 0.500 0.500 W
```

Output
The energy comes out at -25.6 eV per formula unit.


No. 14
This record from OQMD via LeMat-Bulk describes a relaxed YInNiPd crystal. The functional is PBE.

```
YInNiPd
1.0
0.000 3.334 3.334
3.334 0.000 3.334
3.334 3.334 0.000
Y In Ni Pd
1 1 1 1
direct
0.000 0.000 0.000 Y
0.500 0.500 0.500 In
0.750 0.750 0.750 Ni
0.250 0.250 0.250 Pd
```

Output
The energy comes out at -22.3 eV per formula unit.


No. 15
This record from OQMD via LeMat-Bulk describes a relaxed ZrInNiPd crystal. The functional is PBE.

```
ZrInNiPd
1.0
0.000 3.243 3.243
3.243 0.000 3.243
3.243 3.243 0.000
Zr In Ni Pd
1 1 1 1
direct
0.000 0.000 0.000 Zr
0.500 0.500 0.500 In
0.750 0.750 0.750 Ni
0.250 0.250 0.250 Pd
```

Output
The energy comes out at -24.2 eV per formula unit.


No. 16
This record from OQMD via LeMat-Bulk describes a relaxed Pm2InNi2 crystal. The functional is PBE.

```
Pm2InNi2
1.0
7.510 0.000 0.000
0.000 7.510 0.000
0.000 0.000 3.790
Pm In Ni
4 2 4
direct
0.177 0.323 0.000 Pm
0.323 0.823 0.000 Pm
0.677 0.177 0.000 Pm
0.823 0.677 0.000 Pm
0.000 0.000 0.500 In
0.500 0.500 0.500 In
0.118 0.618 0.500 Ni
0.382 0.118 0.500 Ni
0.618 0.882 0.500 Ni
0.882 0.382 0.500 Ni
```

Output
The energy comes out at -25.7 eV per formula unit.


No. 17
This record from OQMD via LeMat-Bulk describes a relaxed PmIn6Ni4 crystal. The functional is PBE.

```
PmIn6Ni4
1.0
-3.365 3.365 4.803
3.365 -3.365 4.803
3.365 3.365 -4.803
Pm In Ni
1 6 4
direct
0.000 0.000 0.000 Pm
0.000 0.500 0.500 In
0.109 0.109 0.637 In
0.471 0.471 0.363 In
0.500 0.000 0.500 In
0.529 0.891 0.000 In
0.891 0.529 0.000 In
0.267 0.594 0.000 Ni
0.406 0.406 0.673 Ni
0.594 0.267 0.000 Ni
0.733 0.733 0.327 Ni
```

Output
The energy comes out at -46.7 eV per formula unit.


No. 18
This record from OQMD via LeMat-Bulk describes a relaxed PmInNi4 crystal. The functional is PBE.

```
PmInNi4
1.0
0.000 3.561 3.561
3.561 0.000 3.561
3.561 3.561 0.000
Pm In Ni
1 1 4
direct
0.000 0.000 0.000 Pm
0.750 0.750 0.750 In
0.376 0.376 0.376 Ni
0.376 0.376 0.871 Ni
0.376 0.871 0.376 Ni
0.871 0.376 0.376 Ni
```

Output
The energy comes out at -31.8 eV per formula unit.


No. 19
This record from OQMD via LeMat-Bulk describes a relaxed PmIn2Ni crystal. The functional is PBE.

```
PmIn2Ni
1.0
2.203 -5.353 0.000
2.203 5.353 0.000
0.000 0.000 7.445
Pm In Ni
2 4 2
direct
0.067 0.933 0.750 Pm
0.933 0.067 0.250 Pm
0.354 0.646 0.550 In
0.354 0.646 0.950 In
0.646 0.354 0.050 In
0.646 0.354 0.450 In
0.213 0.787 0.250 Ni
0.787 0.213 0.750 Ni
```

Output
The energy comes out at -17.6 eV per formula unit.


No. 20
This record from OQMD via LeMat-Bulk describes a relaxed Pr12InNi6 crystal. The functional is PBE.

```
Pr12InNi6
1.0
-5.065 5.065 5.065
5.065 -5.065 5.065
5.065 5.065 -5.065
Pr In Ni
12 1 6
direct
0.121 0.815 0.307 Pr
0.185 0.307 0.492 Pr
0.185 0.693 0.879 Pr
0.307 0.121 0.815 Pr
0.307 0.492 0.185 Pr
0.492 0.185 0.307 Pr
0.508 0.815 0.693 Pr
0.693 0.508 0.815 Pr
0.693 0.879 0.185 Pr
0.815 0.307 0.121 Pr
0.815 0.693 0.508 Pr
0.879 0.185 0.693 Pr
0.000 0.000 0.000 In
0.121 0.621 0.500 Ni
0.379 0.500 0.879 Ni
0.500 0.121 0.621 Ni
0.500 0.879 0.379 Ni
0.621 0.500 0.121 Ni
0.879 0.379 0.500 Ni
```

Output
The energy comes out at -98.5 eV per formula unit.


No. 21
This record from OQMD via LeMat-Bulk describes a relaxed PrInNi crystal. The functional is PBE.

```
PrInNi
1.0
7.894 0.000 0.000
-3.947 6.836 0.000
0.000 0.000 3.894
Pr In Ni
3 3 3
direct
0.000 0.668 0.000 Pr
0.332 0.332 0.000 Pr
0.668 0.000 0.000 Pr
0.000 0.334 0.500 In
0.334 0.000 0.500 In
0.666 0.666 0.500 In
0.000 0.000 0.500 Ni
0.333 0.667 0.500 Ni
0.667 0.333 0.500 Ni
```

Output
The energy comes out at -14.1 eV per formula unit.


No. 22
This record from OQMD via LeMat-Bulk describes a relaxed PrIn2Ni2 crystal. The functional is PBE.

```
PrIn2Ni2
1.0
-2.223 2.223 5.234
2.223 -2.223 5.234
2.223 2.223 -5.234
Pr In Ni
1 2 2
direct
0.000 0.000 0.000 Pr
0.364 0.364 0.000 In
0.636 0.636 0.000 In
0.250 0.750 0.500 Ni
0.750 0.250 0.500 Ni
```

Output
The energy comes out at -22.6 eV per formula unit.


No. 23
This record from OQMD via LeMat-Bulk describes a relaxed PrInNi crystal. The functional is PBE.

```
PrInNi
1.0
7.467 0.000 0.000
-3.734 6.467 0.000
0.000 0.000 4.096
Pr In Ni
3 3 3
direct
0.000 0.587 0.000 Pr
0.413 0.413 0.000 Pr
0.587 0.000 0.000 Pr
0.000 0.244 0.500 In
0.244 0.000 0.500 In
0.756 0.756 0.500 In
0.000 0.000 0.000 Ni
0.333 0.667 0.500 Ni
0.667 0.333 0.500 Ni
```

Output
The energy comes out at -14.4 eV per formula unit.